Tb5Pr4Ho | GGA-PBE | relaxed

Geometry as POSCAR:
```
Tb5Pr4Ho
1.0
-2.838 -2.069 -0.573
5.556 -5.310 -8.341
4.472 -4.728 5.978
Tb Pr Ho
5 4 1
Direct
0.827 0.449 0.653
0.173 0.551 0.347
0.827 0.050 0.654
0.173 0.950 0.346
0.500 0.500 0.000
0.658 0.250 0.315
0.342 0.750 0.685
0.032 0.750 0.063
0.968 0.250 0.937
0.500 0.000 0.000
```

Summary:
- DOS at the Fermi energy (states/eV per atom) = 1.38
- formation energy (eV per atom) = 0.184
- SG = No. 12
- crystal system = monoclinic
- calculated total energy (eV/atom) = -4.5002
- magnetic moment (μB/f.u.) = 0.0